VASP calculation (PBE) on a geometry-optimized AlSbPCl2 structure.

ΔE to the lowest computed polymorph (meV/atom): 0
E_form (uncorrected) (eV per formula unit): -0.91
Symmetry: No. 123

a = 4.588 Å, b = 4.588 Å, c = 5.109 Å
α = 90.00°, β = 90.00°, γ = 90.00°
Fractional positions:
Al  0.000  0.000  0.000
Sb  0.500  0.500  0.500
P  0.000  0.000  0.500
Cl  0.000  0.500  0.000
Cl  0.500  0.000  0.000